# 1
## Y2TcCl (PBE-GGA)

Data for an optimized crystal structure of Y2TcCl.

a = 6.335 Å, b = 6.335 Å, c = 6.335 Å
α = 143.55°, β = 143.55°, γ = 52.51°
Positions (direct):
Cl 0.500 0.500 0.000
Tc 0.750 0.250 0.500
Y 0.000 0.000 0.000
Y 0.250 0.750 0.500

Total magnetic moment, μB per formula unit: 0.29
Theoretical density, kg/m³: 5793
E above lowest polymorph, eV/atom: 0.690
ΔE_f (raw), meV per atom: -54



# 2
## YTcCl3 (PBE-GGA)

Data for an optimized crystal structure of YTcCl3.

a = 4.748 Å, b = 4.748 Å, c = 4.748 Å
α = 90.00°, β = 90.00°, γ = 90.00°
Positions (direct):
Y 0.500 0.500 0.500
Tc 0.000 0.000 0.000
Cl 0.000 0.500 0.000
Cl 0.000 0.000 0.500
Cl 0.500 0.000 0.000

Total magnetic moment, μB per formula unit: 0.00
Theoretical density, kg/m³: 4549
E above lowest polymorph, eV/atom: 0.247
ΔE_f (raw), meV per atom: -208



# 3
## Y2TcCl (PBE-GGA)

Data for an optimized crystal structure of Y2TcCl.

a = 3.483 Å, b = 4.626 Å, c = 5.624 Å
α = 90.00°, β = 90.00°, γ = 90.00°
Positions (direct):
Cl 0.000 0.000 0.375
Tc 0.500 0.500 0.875
Y 0.000 0.000 0.875
Y 0.500 0.500 0.375

Total magnetic moment, μB per formula unit: 0.00
Theoretical density, kg/m³: 5703
E above lowest polymorph, eV/atom: 0.279
ΔE_f (raw), meV per atom: -466



# 4
## YTcCl2 (PBE-GGA)

Data for an optimized crystal structure of YTcCl2.

a = 4.783 Å, b = 4.783 Å, c = 4.783 Å
α = 60.00°, β = 60.00°, γ = 60.00°
Positions (direct):
Y 0.500 0.500 0.500
Tc 0.000 0.000 0.000
Cl 0.750 0.750 0.750
Cl 0.250 0.250 0.250

Total magnetic moment, μB per formula unit: 3.05
Theoretical density, kg/m³: 5532
E above lowest polymorph, eV/atom: 0.483
ΔE_f (raw), meV per atom: -175



# 5
## Y2TcCl (PBE-GGA)

Data for an optimized crystal structure of Y2TcCl.

a = 3.317 Å, b = 3.317 Å, c = 10.099 Å
α = 90.00°, β = 90.00°, γ = 90.00°
Positions (direct):
Cl 0.000 0.000 0.439
Tc 0.500 0.500 0.801
Y 0.000 0.000 0.978
Y 0.500 0.500 0.282

Total magnetic moment, μB per formula unit: 1.66
Theoretical density, kg/m³: 4653
E above lowest polymorph, eV/atom: 0.735
ΔE_f (raw), meV per atom: -10



# 6
## Y2TcCl (PBE-GGA)

Data for an optimized crystal structure of Y2TcCl.

a = 4.956 Å, b = 4.956 Å, c = 4.956 Å
α = 60.00°, β = 60.00°, γ = 60.00°
Positions (direct):
Cl 0.500 0.500 0.500
Tc 0.750 0.750 0.750
Y 0.000 0.000 0.000
Y 0.250 0.250 0.250

Total magnetic moment, μB per formula unit: 0.00
Theoretical density, kg/m³: 6004
E above lowest polymorph, eV/atom: 1.160
ΔE_f (raw), meV per atom: 415



# 7
## Y2TcCl (PBE-GGA)

Data for an optimized crystal structure of Y2TcCl.

a = 3.437 Å, b = 3.523 Å, c = 8.008 Å
α = 90.55°, β = 90.00°, γ = 90.00°
Positions (direct):
Y 0.000 0.237 0.955
Y 0.000 0.263 0.545
Tc 0.500 0.750 0.750
Cl 0.500 0.250 0.250

Total magnetic moment, μB per formula unit: 0.00
Theoretical density, kg/m³: 5331
E above lowest polymorph, eV/atom: 0.000
ΔE_f (raw), meV per atom: -745



# 8
## YTc2Cl (PBE-GGA)

Data for an optimized crystal structure of YTc2Cl.

a = 5.818 Å, b = 5.818 Å, c = 4.335 Å
α = 85.74°, β = 85.74°, γ = 33.30°
Positions (direct):
Cl 0.750 0.750 0.250
Tc 0.969 0.969 0.932
Tc 0.531 0.531 0.568
Y 0.250 0.250 0.750

Total magnetic moment, μB per formula unit: 0.00
Theoretical density, kg/m³: 6624
E above lowest polymorph, eV/atom: 0.279
ΔE_f (raw), meV per atom: -13



# 9
## YTcCl2 (PBE-GGA)

Data for an optimized crystal structure of YTcCl2.

a = 4.481 Å, b = 4.481 Å, c = 9.056 Å
α = 75.67°, β = 75.67°, γ = 90.00°
Positions (direct):
Y 0.500 0.500 0.000
Y 0.250 0.750 0.500
Tc 0.000 0.000 0.000
Tc 0.750 0.250 0.500
Cl 0.647 0.125 0.250
Cl 0.103 0.625 0.250
Cl 0.375 0.353 0.750
Cl 0.875 0.897 0.750

Total magnetic moment, μB per formula unit: 2.00
Theoretical density, kg/m³: 5025
E above lowest polymorph, eV/atom: 0.253
ΔE_f (raw), meV per atom: -406



# 10
## YTc2Cl (PBE-GGA)

Data for an optimized crystal structure of YTc2Cl.

a = 3.177 Å, b = 3.177 Å, c = 8.666 Å
α = 90.00°, β = 90.00°, γ = 90.00°
Positions (direct):
Cl 0.500 0.500 0.686
Tc 0.000 0.000 0.098
Tc 0.500 0.500 0.235
Y 0.000 0.000 0.481

Total magnetic moment, μB per formula unit: 0.00
Theoretical density, kg/m³: 6081
E above lowest polymorph, eV/atom: 0.028
ΔE_f (raw), meV per atom: -263



# 11
## Y2TcCl (PBE-GGA)

Data for an optimized crystal structure of Y2TcCl.

a = 10.533 Å, b = 10.533 Å, c = 10.533 Å
α = 18.76°, β = 18.76°, γ = 18.76°
Positions (direct):
Cl 0.512 0.512 0.512
Tc 0.740 0.740 0.740
Y 0.008 0.008 0.008
Y 0.240 0.240 0.240

Total magnetic moment, μB per formula unit: 1.72
Theoretical density, kg/m³: 4895
E above lowest polymorph, eV/atom: 0.763
ΔE_f (raw), meV per atom: 18



# 12
## Y2TcCl (PBE-GGA)

Data for an optimized crystal structure of Y2TcCl.

a = 5.595 Å, b = 5.595 Å, c = 4.777 Å
α = 90.00°, β = 90.00°, γ = 36.05°
Positions (direct):
Cl 0.477 0.477 0.625
Tc 0.269 0.269 0.125
Y 0.014 0.014 0.125
Y 0.740 0.740 0.625

Total magnetic moment, μB per formula unit: 0.00
Theoretical density, kg/m³: 5873
E above lowest polymorph, eV/atom: 0.285
ΔE_f (raw), meV per atom: -459